# 1
A plane-wave DFT calculation with PBE was carried out for a relaxed ScAg2F8 crystal.

Cell: 4.200 6.749 6.749 Å, 120.02 90.00 90.00°
Site moments in Bohr magnetons follow the coordinates.
Fractional coordinates of all 11 atoms:
F: 0.747 0.298 0.150  0.10
F: 0.747 0.333 0.667  0.01
Sc: 0.000 0.000 0.000  -0.01
F: 0.253 0.667 0.333  0.01
Ag: 0.245 0.333 0.667  0.21
F: 0.253 0.702 0.850  0.10
F: 0.253 0.148 0.298  0.10
Ag: 0.755 0.667 0.333  0.21
F: 0.747 0.850 0.148  0.10
F: 0.253 0.150 0.852  0.10
F: 0.747 0.852 0.702  0.10

---

# 2
A plane-wave DFT calculation with PBE was carried out for a relaxed Sc2AgF crystal.

Cell: 4.732 4.732 4.732 Å, 60.00 60.00 60.00°
Fractional coordinates of all 4 atoms:
Sc: 0.250 0.250 0.250
F: 0.000 0.000 0.000
Sc: 0.750 0.750 0.750
Ag: 0.500 0.500 0.500

Summary:
For the excess energy over the best structure of this formula in the dataset, the calculation gives 398 meV/atom.

---

# 3
A plane-wave DFT calculation with PBE was carried out for a relaxed ScAg6F12 crystal.

Cell: 6.817 6.817 6.817 Å, 100.49 100.49 100.49°
Site moments in Bohr magnetons follow the coordinates.
Fractional coordinates of all 19 atoms:
Ag: 0.857 0.701 0.400  0.33
F: 0.368 0.577 0.829  0.14
F: 0.984 0.075 0.299  0.04
Ag: 0.701 0.400 0.857  0.33
Ag: 0.400 0.857 0.701  0.33
F: 0.829 0.368 0.577  0.14
F: 0.171 0.632 0.423  0.14
F: 0.701 0.016 0.925  0.04
F: 0.925 0.701 0.016  0.04
F: 0.632 0.423 0.171  0.14
F: 0.075 0.299 0.984  0.04
F: 0.016 0.925 0.701  0.04
F: 0.577 0.829 0.368  0.14
Sc: 0.000 0.000 0.000  0.01
F: 0.423 0.171 0.632  0.14
Ag: 0.143 0.299 0.600  0.33
F: 0.299 0.984 0.075  0.04
Ag: 0.600 0.143 0.299  0.33
Ag: 0.299 0.600 0.143  0.33

---

# 4
A plane-wave DFT calculation with PBE was carried out for a relaxed ScAg5F8 crystal.

Cell: 6.067 6.066 7.207 Å, 104.76 112.19 104.40°
Fractional coordinates of all 14 atoms:
F: 0.513 0.228 0.648
Ag: 0.266 0.941 0.007
Ag: 0.986 0.192 0.477
F: 0.580 0.865 0.352
F: 0.140 0.482 0.846
Ag: 0.934 0.260 0.993
Ag: 0.715 0.509 0.523
F: 0.626 0.841 0.772
F: 0.103 0.856 0.625
F: 0.636 0.295 0.154
F: 0.231 0.478 0.375
F: 0.069 0.854 0.228
Sc: 0.353 0.853 0.500
Ag: 0.597 0.597 0.000

---

# 5
A plane-wave DFT calculation with PBE was carried out for a relaxed ScAg3F crystal.

Cell: 4.647 4.647 4.647 Å, 90.00 90.00 90.00°
Site moments in Bohr magnetons follow the coordinates.
Fractional coordinates of all 5 atoms:
Ag: 0.000 0.500 0.000  0.06
Sc: 0.500 0.500 0.500  0.45
Ag: 0.000 0.000 0.500  0.04
F: 0.000 0.000 0.000  0.07
Ag: 0.500 0.000 0.000  0.09

Summary:
For the excess energy over the best structure of this formula in the dataset, the calculation gives 0 meV/atom.

---

# 6
A plane-wave DFT calculation with PBE was carried out for a relaxed ScAg3F7 crystal.

Cell: 5.530 5.530 6.396 Å, 66.99 66.99 87.29°
Site moments in Bohr magnetons follow the coordinates.
Fractional coordinates of all 11 atoms:
F: 0.181 0.181 0.097  0.02
F: 0.660 0.111 0.256  0.05
F: 0.921 0.308 0.768  0.04
Ag: 0.499 0.499 0.991  0.21
F: 0.835 0.835 0.793  0.08
Ag: 0.775 0.242 0.502  0.26
F: 0.308 0.921 0.768  0.04
F: 0.111 0.660 0.256  0.05
Sc: 0.955 0.955 0.034  0.00
F: 0.639 0.639 0.284  0.06
Ag: 0.242 0.775 0.502  0.26

---

no.,total magnetic moment (μB/cell),raw formation energy (eV/f.u.)
1,1.104,-21.5
2,0.003,-2.9
3,3.118,-32.3
4,0.000,-25.4
5,1.169,0.0
6,1.095,-22.9